# 1
Below is crystalline BaMn2PbBr8 at its relaxed geometry, with properties calculated at the PBE level.

Cell and atoms, written as extended XYZ:
```
12
Lattice="6.984 0.000 0.000 -3.492 6.049 0.000 0.000 0.000 10.125" Properties=species:S:1:pos:R:3 pbc="T T T"
Ba 0.000 0.000 0.000
Mn 0.000 4.033 7.733
Mn 3.492 2.016 2.393
Pb 0.000 0.000 5.063
Br -2.355 4.165 2.965
Br 1.063 1.927 2.965
Br 2.200 0.043 7.160
Br 0.000 4.033 0.061
Br 3.492 2.016 10.064
Br 1.292 6.006 2.965
Br 2.429 4.122 7.160
Br 5.847 1.884 7.160
```

Computed properties:
N(E_F) = 0.00 states/eV per cell
Spin magnetization = 10.00 μB/f.u.
Space-group type = P-3 (147)


# 2
Below is crystalline BaMnPb2Br8 at its relaxed geometry, with properties calculated at the PBE level.

Cell and atoms, written as extended XYZ:
```
12
Lattice="6.819 0.000 0.000 0.000 9.116 0.000 -0.133 0.000 7.122" Properties=species:S:1:pos:R:3 pbc="T T T"
Ba 0.000 0.000 0.000
Mn 0.000 4.558 0.000
Pb 3.343 2.454 3.561
Pb 3.343 6.662 3.561
Br 1.534 2.645 1.079
Br 1.534 6.470 1.079
Br 1.538 4.558 4.853
Br 1.758 0.000 4.536
Br 4.929 0.000 2.586
Br 5.149 4.558 2.269
Br 5.153 2.645 6.043
Br 5.153 6.470 6.043
```

Computed properties:
N(E_F) = 0.00 states/eV per cell
Spin magnetization = 5.00 μB/f.u.
Space-group type = P2/m (10)


# 3
Below is crystalline Ba2MnPtBr at its relaxed geometry, with properties calculated at the PBE level.

Cell and atoms, written as extended XYZ:
```
5
Lattice="6.136 0.000 0.000 0.000 6.136 0.000 0.000 0.000 4.564" Properties=species:S:1:pos:R:3 pbc="T T T"
Ba 0.000 3.068 0.000
Ba 3.068 0.000 0.000
Mn 0.000 0.000 2.282
Pt 3.068 3.068 2.282
Br 0.000 0.000 0.000
```

Computed properties:
N(E_F) = 4.55 states/eV per cell
Spin magnetization = 2.91 μB/f.u.
Space-group type = P4/mmm (123)


# 4
Below is crystalline Rb2BaMnBr6 at its relaxed geometry, with properties calculated at the PBE level.

Cell and atoms, written as extended XYZ:
```
20
Lattice="7.962 0.000 0.000 0.000 8.267 0.000 -7.778 0.000 11.426" Properties=species:S:1:pos:R:3 pbc="T T T"
Rb -0.126 0.549 2.814
Rb -4.015 3.584 8.527
Rb 4.199 4.683 2.899
Rb 0.310 7.718 8.612
Ba 3.981 0.000 0.000
Ba 0.092 4.134 5.713
Mn -3.889 0.000 5.713
Mn 0.000 4.134 0.000
Br -6.368 1.848 10.842
Br -2.479 2.286 5.129
Br -5.588 5.639 10.892
Br -1.699 6.762 5.179
Br -3.103 0.199 8.297
Br 0.786 3.935 2.584
Br -0.602 4.332 8.842
Br 3.287 8.068 3.129
Br 1.883 1.505 6.247
Br 5.772 2.629 0.534
Br 2.663 5.981 6.297
Br 6.552 6.420 0.584
```

Computed properties:
N(E_F) = 0.00 states/eV per cell
Polymorph energy (0 for the lowest one) = 0 meV/atom
Spin magnetization = 5.00 μB/f.u.
Space-group type = P2_1/c (14)


The formation energy from raw total energies results, record by record, are as follows: -1.095 -1.158 -0.005 -1.575 eV/atom.